(1)
Compound: NaNpZn17
Source: the Alexandria database
Functional: PBE
Structure: optimized geometry

Cell lengths 6.8231, 6.8231, 6.8231 Å; angles 82.70, 82.70, 82.70 degrees
Closest atoms and distances in Å follow each position.
Sites, in units of the cell vectors:
Na 0.0000 0.0000 0.0000  19 Zn 3.17-3.53
Np 0.6785 0.6785 0.6785  19 Zn 3.13-3.46
Zn 0.0435 0.3398 0.6401  8 Zn 2.59-2.79
Zn 0.0435 0.6401 0.3398  8 Zn 2.59-2.79
Zn 0.1817 0.6928 0.6928  9 Zn 2.57-2.86
Zn 0.2404 0.2404 0.2404  7 Zn 2.67-2.89
Zn 0.3398 0.0435 0.6401  8 Zn 2.59-2.79
Zn 0.3398 0.6401 0.0435  8 Zn 2.59-2.79
Zn 0.3456 0.3456 0.8374  10 Zn 2.59-2.78
Zn 0.3456 0.8374 0.3456  10 Zn 2.59-2.78
Zn 0.4421 0.4421 0.4421  7 Zn 2.67-2.86
Zn 0.5004 0.9870 0.9870  8 Zn 2.57-2.79
Zn 0.6401 0.0435 0.3398  8 Zn 2.59-2.79
Zn 0.6401 0.3398 0.0435  8 Zn 2.59-2.79
Zn 0.6928 0.1817 0.6928  9 Zn 2.57-2.86
Zn 0.6928 0.6928 0.1817  9 Zn 2.57-2.86
Zn 0.8374 0.3456 0.3456  10 Zn 2.59-2.78
Zn 0.9870 0.5004 0.9870  8 Zn 2.57-2.79
Zn 0.9870 0.9870 0.5004  8 Zn 2.57-2.79

## Properties
E_form = -0.04 eV/atom
M_tot = 4.41 μB/f.u.
Density of states at the Fermi level = 14.4 states/eV/cell



(2)
Compound: TaRe2Hg
Source: the Alexandria database
Functional: PBE
Structure: optimized geometry

Cell lengths 2.8061, 2.8061, 9.2665 Å; angles 90.00, 90.00, 109.21 degrees
Closest atoms and distances in Å follow each position.
Sites, in units of the cell vectors:
Ta 0.0000 0.0000 0.0000  2 Re 2.72, 4 Ta 2.81, 2 Hg 3.00
Re 0.0000 0.0000 0.5414  6 Re 2.63-2.81
Re 0.5000 0.5000 0.7642  6 Re 2.63-2.81, 2 Ta 2.72
Hg 0.5000 0.5000 0.2719  4 Hg 2.81, 2 Re 2.98, 2 Ta 3.00

## Properties
E_form = 0.42 eV/atom
M_tot = 0.00 μB/f.u.
Density of states at the Fermi level = 4.0 states/eV/cell



Repeat the second record exactly.
Compound: TaRe2Hg
Source: the Alexandria database
Functional: PBE
Structure: optimized geometry

Cell lengths 2.8061, 2.8061, 9.2665 Å; angles 90.00, 90.00, 109.21 degrees
Closest atoms and distances in Å follow each position.
Sites, in units of the cell vectors:
Ta 0.0000 0.0000 0.0000  2 Re 2.72, 4 Ta 2.81, 2 Hg 3.00
Re 0.0000 0.0000 0.5414  6 Re 2.63-2.81
Re 0.5000 0.5000 0.7642  6 Re 2.63-2.81, 2 Ta 2.72
Hg 0.5000 0.5000 0.2719  4 Hg 2.81, 2 Re 2.98, 2 Ta 3.00

## Properties
E_form = 0.42 eV/atom
M_tot = 0.00 μB/f.u.
Density of states at the Fermi level = 4.0 states/eV/cell



What did the second record say?
Compound: TaRe2Hg
Source: the Alexandria database
Functional: PBE
Structure: optimized geometry

Cell lengths 2.8061, 2.8061, 9.2665 Å; angles 90.00, 90.00, 109.21 degrees
Closest atoms and distances in Å follow each position.
Sites, in units of the cell vectors:
Ta 0.0000 0.0000 0.0000  2 Re 2.72, 4 Ta 2.81, 2 Hg 3.00
Re 0.0000 0.0000 0.5414  6 Re 2.63-2.81
Re 0.5000 0.5000 0.7642  6 Re 2.63-2.81, 2 Ta 2.72
Hg 0.5000 0.5000 0.2719  4 Hg 2.81, 2 Re 2.98, 2 Ta 3.00

## Properties
E_form = 0.42 eV/atom
M_tot = 0.00 μB/f.u.
Density of states at the Fermi level = 4.0 states/eV/cell